# 1
Below is an optimized crystal structure of TlSe5, with properties calculated at the PBE-GGA level.

Geometry as POSCAR:
```
TlSe5
1.0
3.8906 0.0000 0.0000
0.0000 13.2896 0.0000
-1.0566 0.0000 7.2173
Tl Se
2 10
direct
0.2133 0.2500 0.4838
0.7867 0.7500 0.5162
0.1918 0.6023 0.0624
0.1918 0.8977 0.0624
0.2369 0.5530 0.3806
0.2369 0.9470 0.3806
0.4355 0.2500 0.9456
0.5645 0.7500 0.0544
0.7631 0.0530 0.6194
0.7631 0.4470 0.6194
0.8082 0.1023 0.9376
0.8082 0.3977 0.9376
```

Output
DOS at the Fermi energy in states/eV/f.u.: 1.02
Formation energy without anion corrections in kcal/mol of atoms: -0.6
Total moment in μB per atom: 0.000
Total energy in eV/cell: -39.904

=====

# 2
Below is an optimized crystal structure of Ba2VCu, with properties calculated at the PBE-GGA level.

Geometry as POSCAR:
```
Ba2VCu
1.0
0.0000 4.0600 4.0600
4.0600 0.0000 4.0600
4.0600 4.0600 0.0000
Ba V Cu
2 1 1
direct
0.2500 0.2500 0.2500
0.7500 0.7500 0.7500
0.0000 0.0000 0.0000
0.5000 0.5000 0.5000
```

Output
DOS at the Fermi energy in states/eV/f.u.: 2.99
Formation energy from the elements in eV per atom: 0.61
Total moment in μB per atom: 1.204
Total energy in eV/cell: -14.608

=====

# 3
Below is an optimized crystal structure of Ag2AsRu, with properties calculated at the PBE-GGA level.

Geometry as POSCAR:
```
Ag2AsRu
1.0
2.6490 -4.5279 0.0000
2.6490 4.5279 0.0000
0.0000 0.0000 2.8237
Ag As Ru
2 1 1
direct
0.0000 0.5000 0.0000
0.5000 0.0000 0.0000
0.0000 0.0000 0.5000
0.5000 0.5000 0.5000
```

Output
DOS at the Fermi energy in states/eV/f.u.: 3.60
Formation energy from the elements in eV per atom: 0.41
Total moment in μB per atom: 0.265
Total energy in eV/cell: -17.974

=====

# 4
Below is an optimized crystal structure of YHfOs4, with properties calculated at the PBE-GGA level.

Geometry as POSCAR:
```
YHfOs4
1.0
0.0000 3.7415 3.7415
3.7415 0.0000 3.7415
3.7415 3.7415 0.0000
Y Hf Os
1 1 4
direct
0.0000 0.0000 0.0000
0.7500 0.7500 0.7500
0.3752 0.3752 0.3752
0.3752 0.3752 0.8743
0.3752 0.8743 0.3752
0.8743 0.3752 0.3752
```

Output
DOS at the Fermi energy in states/eV/f.u.: 5.05
Formation energy from the elements in eV per atom: -0.27
Total moment in μB per atom: 0.000
Total energy in eV/cell: -62.985

=====

# 5
Below is an optimized crystal structure of SrZn7Ir5, with properties calculated at the PBE-GGA level.

Geometry as POSCAR:
```
SrZn7Ir5
1.0
-2.7673 4.4548 4.3342
2.7673 -4.4548 4.3342
2.7673 4.4548 -4.3342
Sr Zn Ir
1 7 5
direct
0.0000 0.0000 0.0000
0.2183 0.5009 0.7174
0.2351 0.7351 0.5000
0.3415 0.3415 0.0000
0.3478 0.0073 0.3405
0.6592 0.6592 0.0000
0.6669 0.0073 0.6595
0.7835 0.5009 0.2826
0.0079 0.5111 0.0089
0.0079 0.9989 0.4968
0.5021 0.5111 0.5032
0.5021 0.9989 0.9911
0.7611 0.2611 0.5000
```

Output
DOS at the Fermi energy in states/eV/f.u.: 7.37
Formation energy from the elements in eV per atom: -0.23
Total moment in μB per atom: 0.000
Total energy in eV/cell: -57.941

=====

# 6
Below is an optimized crystal structure of Ca2InAu, with properties calculated at the PBE-GGA level.

Geometry as POSCAR:
```
Ca2InAu
1.0
-4.1879 4.1879 3.4328
4.1879 -4.1879 3.4328
4.1879 4.1879 -3.4328
Ca In Au
4 2 2
direct
0.0905 0.6250 0.9655
0.3750 0.3405 0.4655
0.6595 0.1250 0.0345
0.8750 0.9095 0.5345
0.2500 0.7500 0.5000
0.5000 0.5000 0.0000
0.0000 0.0000 0.0000
0.7500 0.2500 0.5000
```

Output
DOS at the Fermi energy in states/eV/f.u.: 1.29
Formation energy from the elements in eV per atom: -0.33
Total moment in μB per atom: 0.000
Total energy in eV/cell: -22.686

=====

# 7
Below is an optimized crystal structure of ScTe2O8, with properties calculated at the PBE-GGA level.

Geometry as POSCAR:
```
ScTe2O8
1.0
-2.5345 2.5345 5.1964
2.5345 -2.5345 5.1964
2.5345 2.5345 -5.1964
Sc Te O
1 2 8
direct
0.0000 0.0000 0.0000
0.2500 0.7500 0.5000
0.7500 0.2500 0.5000
0.0679 0.5837 0.9122
0.1556 0.0679 0.4841
0.3285 0.4163 0.4841
0.4163 0.9321 0.0878
0.5837 0.6715 0.5159
0.6715 0.1556 0.0878
0.8444 0.3285 0.9122
0.9321 0.8444 0.5159
```

Output
DOS at the Fermi energy in states/eV/f.u.: 7.26
Formation energy without anion corrections in kcal/mol of atoms: -23.3
Total moment in μB per atom: 0.000
Total energy in eV/cell: -63.403

=====

# 8
Below is an optimized crystal structure of Rb2RuOF, with properties calculated at the PBE-GGA level.

Geometry as POSCAR:
```
Rb2RuOF
1.0
5.8193 0.0000 0.0000
0.0000 5.8193 0.0000
0.0000 0.0000 3.8296
Rb Ru O F
2 1 1 1
direct
0.0000 0.5000 0.0000
0.5000 0.0000 0.0000
0.0000 0.0000 0.5000
0.5000 0.5000 0.0000
0.5000 0.5000 0.5000
```

Output
DOS at the Fermi energy in states/eV/f.u.: 3.96
Formation energy without anion corrections in kcal/mol of atoms: 9.9
Total moment in μB per atom: 0.600
Total energy in eV/cell: -15.890

=====

# 9
Below is an optimized crystal structure of RbCuS3, with properties calculated at the PBE-GGA level.

Geometry as POSCAR:
```
RbCuS3
1.0
4.7183 0.0000 0.0000
0.0000 4.7183 0.0000
0.0000 0.0000 4.7183
Rb Cu S
1 1 3
direct
0.0000 0.0000 0.0000
0.5000 0.5000 0.5000
0.0000 0.5000 0.5000
0.5000 0.0000 0.5000
0.5000 0.5000 0.0000
```

Output
DOS at the Fermi energy in states/eV/f.u.: 5.50
Formation energy without anion corrections in kcal/mol of atoms: 0.5
Total moment in μB per atom: 0.000
Total energy in eV/cell: -17.328

=====

# 10
Below is an optimized crystal structure of BaSiAs2Br, with properties calculated at the PBE-GGA level.

Geometry as POSCAR:
```
BaSiAs2Br
1.0
6.3127 0.0000 0.0000
0.0000 6.3127 0.0000
0.0000 0.0000 6.0266
Ba Si As Br
1 1 2 1
direct
0.0000 0.0000 0.0000
0.5000 0.5000 0.5000
0.0000 0.5000 0.0000
0.5000 0.0000 0.0000
0.0000 0.0000 0.5000
```

Output
DOS at the Fermi energy in states/eV/f.u.: 6.60
Formation energy without anion corrections in kcal/mol of atoms: 21.2
Total moment in μB per atom: 0.490
Total energy in eV/cell: -13.718

=====

# 11
Below is an optimized crystal structure of TbDyCu, with properties calculated at the PBE-GGA level.

Geometry as POSCAR:
```
TbDyCu
1.0
0.0000 3.4302 3.4302
3.4302 0.0000 3.4302
3.4302 3.4302 0.0000
Tb Dy Cu
1 1 1
direct
0.0000 0.0000 0.0000
0.5000 0.5000 0.5000
0.2500 0.2500 0.2500
```

Output
DOS at the Fermi energy in states/eV/f.u.: 3.73
Formation energy from the elements in eV per atom: 0.06
Total moment in μB per atom: 0.000
Total energy in eV/cell: -13.142

=====

# 12
Below is an optimized crystal structure of Sr2YTlBr8, with properties calculated at the PBE-GGA level.

Geometry as POSCAR:
```
Sr2YTlBr8
1.0
6.8911 0.0000 0.0000
0.0000 9.4406 0.0000
-0.0029 0.0000 7.1984
Sr Y Tl Br
2 1 1 8
direct
0.0000 0.2495 0.0000
0.0000 0.7505 0.0000
0.5000 0.5000 0.5000
0.5000 0.0000 0.5000
0.2330 0.0000 0.8649
0.2480 0.5000 0.8217
0.2689 0.2878 0.3418
0.2689 0.7122 0.3418
0.7311 0.2878 0.6582
0.7311 0.7122 0.6582
0.7520 0.5000 0.1783
0.7670 0.0000 0.1351
```

Output
DOS at the Fermi energy in states/eV/f.u.: 0.00
Formation energy without anion corrections in kcal/mol of atoms: -41.6
Total moment in μB per atom: 0.000
Total energy in eV/cell: -47.247

=====

Question: DOS at the Fermi energy of number 2 (Ba2VCu)?
Answer: 2.99 states/eV/f.u.